Record 1
12
Lattice="2.1751 -7.9699 0.0000 2.1751 7.9699 0.0000 0.0000 0.0000 10.2736" Properties=species:S:1:pos:R:3 comment="KGdAsSe3 PBE-GGA optimized geometry" total_energy_ev_per_atom=-4.43 m_tot_mub_per_atom=0.059 pbc="T T T"
Gd 2.1751 0.0000 0.0000
Gd 2.1751 0.0000 5.1368
Se 2.1751 1.5858 2.5684
Se 2.1751 -1.5858 7.7052
Se 2.1751 -6.0015 9.7715
Se 2.1751 -6.0015 5.6390
Se 2.1751 6.0015 4.6347
Se 2.1751 6.0015 0.5022
As 2.1751 7.4043 2.5684
As 2.1751 -7.4043 7.7052
K 2.1751 3.8719 7.7052
K 2.1751 -3.8719 2.5684



Record 2
12
Lattice="-6.6345 3.5414 4.4222 3.9014 -6.9755 -3.4980 5.4322 -1.7523 9.5531" Properties=species:S:1:pos:R:3 comment="KGdTe3As PBE-GGA optimized geometry" total_energy_ev_per_atom=-4.03 m_tot_mub_per_atom=0.031 pbc="T T T"
Gd 1.3496 -2.5932 5.2387
Gd -1.3666 -1.7170 0.4621
Te 2.7918 -5.7014 -2.0453
Te 5.0151 -6.4186 1.8646
Te 0.9949 -3.1568 2.0961
Te -2.3159 1.2322 8.6127
Te 1.7042 -2.0297 8.3813
Te -0.0926 0.5150 12.5226
K -2.5038 0.3357 4.7262
K 5.2029 -5.5221 5.7511
As 4.8472 -7.0021 -0.7998
As -2.1481 1.8157 11.2772



Record 3
6
Lattice="-2.8806 -1.2995 2.6467 3.1477 -2.4682 -0.9959 4.2505 2.9664 6.0827" Properties=species:S:1:pos:R:3 comment="LaGdNi2As2 PBE-GGA optimized geometry" total_energy_ev_per_atom=-6.09 m_tot_mub_per_atom=0.000 pbc="T T T"
La 0.0000 0.0000 0.0000
Ni 4.2941 0.1238 4.7345
Ni 0.2235 -0.9250 2.9991
Gd 2.1253 1.4832 3.0414
As 2.2579 -1.2972 1.8206
As 2.2597 0.4960 5.9130